# 1
Entry from the Alexandria database: Na2PaAlTe5 after structural relaxation (PBE).

a b c (Å): 4.3803 10.1491 15.4034
angles (deg): 90.00 90.00 102.46
Closest atoms and distances in Å follow each position.
Fractional coordinates of all 18 atoms:
Te 0.2713 0.5426 0.3844  1 Al 2.68
Te 0.7257 0.4514 0.1571  2 Pa 2.99
Te 0.6203 0.2406 0.5080  1 Pa 2.88
Te 0.4754 0.9509 0.2773  1 Al 2.55
Te 0.5246 0.0491 0.7773  1 Al 2.55
Te 0.3797 0.7594 0.0080  1 Pa 2.88
Te 0.2743 0.5486 0.6571  2 Pa 2.99
Te 0.9229 0.8457 0.5210  2 Al 2.75
Te 0.0771 0.1543 0.0210  2 Al 2.75
Te 0.7287 0.4574 0.8844  1 Al 2.68
Na 0.1015 0.2030 0.6638  5 Te 3.19-3.43
Na 0.9370 0.8741 0.8715  4 Te 3.15-3.24
Na 0.0630 0.1259 0.3715  4 Te 3.15-3.24
Na 0.8985 0.7970 0.1638  5 Te 3.19-3.43
Al 0.4045 0.8089 0.4152  4 Te 2.55-2.75
Al 0.5955 0.1911 0.9152  4 Te 2.55-2.75
Pa 0.2352 0.4703 0.0258  6 Te 2.88-3.13
Pa 0.7648 0.5297 0.5258  6 Te 2.88-3.13

Properties
Raw total energy = -76.5 eV for the cell shown
Density of states at the Fermi level = 0.2 states/eV per cell
Formation energy without anion corrections = -0.7415 eV per atom


# 2
Entry from the Alexandria database: TbEr4Bi5 after structural relaxation (PBE).

a b c (Å): 4.4522 6.2948 11.7765
angles (deg): 105.50 100.90 90.00
Closest atoms and distances in Å follow each position.
Fractional coordinates of all 10 atoms:
Er 0.7993 0.7993 0.5986  6 Bi 3.14-3.15
Er 0.2007 0.2007 0.4014  6 Bi 3.14-3.15
Er 0.5999 0.5999 0.1999  6 Bi 3.14-3.15
Er 0.4001 0.4001 0.8001  6 Bi 3.14-3.15
Bi 0.8003 0.3003 0.6006  6 Er 3.14-3.15
Bi 0.1997 0.6997 0.3994  6 Er 3.14-3.15
Bi 0.3987 0.8987 0.7975  4 Er 3.14-3.15, 2 Tb 3.17
Bi 0.0000 0.5000 0.0000  4 Er 3.15, 2 Tb 3.15
Bi 0.6013 0.1013 0.2025  4 Er 3.14-3.15, 2 Tb 3.17
Tb 0.0000 0.0000 0.0000  6 Bi 3.15-3.17

Properties
Raw total energy = -50.5 eV for the cell shown
Density of states at the Fermi level = 1.9 states/eV per cell


# 3
Entry from the Alexandria database: Ba9Na3Pd2 after structural relaxation (PBE).

a b c (Å): 8.9363 8.9363 10.9236
angles (deg): 90.00 90.00 120.00
Closest atoms and distances in Å follow each position.
Fractional coordinates of all 14 atoms:
Ba 0.5000 0.0000 0.0000  2 Pd 3.18
Ba 0.1685 0.3370 0.6671  1 Pd 3.11
Ba 0.0000 0.5000 0.0000  2 Pd 3.18
Ba 0.8315 0.1685 0.3329  1 Pd 3.11
Ba 0.5000 0.5000 0.0000  2 Pd 3.18
Ba 0.8315 0.6630 0.3329  1 Pd 3.11
Ba 0.6630 0.8315 0.6671  1 Pd 3.11
Ba 0.3370 0.1685 0.3329  1 Pd 3.11
Ba 0.1685 0.8315 0.6671  1 Pd 3.11
Na 0.3333 0.6667 0.3356  12 Ba 4.43-4.48
Na 0.0000 0.0000 0.0000  12 Ba 4.47-4.48
Na 0.6667 0.3333 0.6644  12 Ba 4.43-4.48
Pd 0.3333 0.6667 0.8296  6 Ba 3.11-3.18
Pd 0.6667 0.3333 0.1704  6 Ba 3.11-3.18

Properties
Raw total energy = -34.2 eV for the cell shown
Density of states at the Fermi level = 9.9 states/eV per cell


> The highest density of states at the Fermi level belongs to which entry?

Ba9Na3Pd2


> Which value of raw total energy does entry 3 give?

-34.2 eV for the cell shown